[1]
First-principles (PBE) data for LiAg3Au5 after structural relaxation, as listed in the Alexandria database.

abc: 7.6580 7.6580 7.9082
angles: 118.96 118.96 90.00
Fractional positions:
Au  0.3349  0.8349  0.2872
Au  0.5477  0.6651  0.7128
Ag  0.3821  0.8821  0.0000
Ag  0.7500  0.7500  0.5000
Au  0.1651  0.0477  0.7128
Au  0.8349  0.9523  0.2872
Au  0.5000  0.5000  0.0000
Li  0.7500  0.2500  0.5000
Au  0.4523  0.3349  0.2872
Ag  0.1179  0.3821  0.0000
Au  0.0477  0.5477  0.7128
Au  0.9523  0.4523  0.2872
Ag  0.2500  0.2500  0.5000
Ag  0.8821  0.6179  0.0000
Ag  0.6179  0.1179  0.0000
Au  0.6651  0.1651  0.7128
Li  0.2500  0.7500  0.5000
Au  0.0000  0.0000  0.0000

Properties
Magnetic moment: 0.00 μB per formula unit
DOS at the Fermi energy: 2.08 states/eV/f.u.
Crystal system: tetragonal
Energy of formation from the pure elements: 79 kJ/mol of formula units

[2]
First-principles (PBE) data for LiAg2Au after structural relaxation, as listed in the Alexandria database.

abc: 4.9691 4.9691 4.9207
angles: 79.64 79.64 35.23
Fractional positions:
Ag  0.2486  0.2486  0.2483
Ag  0.9991  0.9991  0.0019
Au  0.4981  0.4981  0.5105
Li  0.7542  0.7542  0.7393

Properties
Magnetic moment: 0.00 μB per formula unit
DOS at the Fermi energy: 1.00 states/eV/f.u.
Crystal system: monoclinic
Energy of formation from the pure elements: -76 kJ/mol of formula units

[3]
First-principles (PBE) data for Li2Ag4Au5 after structural relaxation, as listed in the Alexandria database.

abc: 2.8833 7.2920 17.8445
angles: 90.00 90.00 90.00
Fractional positions:
Ag  0.5000  0.2886  0.5782
Ag  0.5000  0.4244  0.8481
Ag  0.5000  0.2114  0.0782
Li  0.5000  0.5514  0.6869
Au  0.0000  0.3626  0.4366
Ag  0.5000  0.5756  0.1519
Au  0.0000  0.8626  0.0634
Ag  0.5000  0.9244  0.6519
Au  0.0000  0.6374  0.5634
Ag  0.5000  0.0756  0.3481
Au  0.0000  0.1374  0.9366
Au  0.0000  0.7506  0.2810
Au  0.0000  0.5000  0.0000
Li  0.5000  0.4486  0.3131
Li  0.5000  0.9486  0.1869
Au  0.0000  0.2494  0.7190
Ag  0.5000  0.7886  0.9218
Au  0.0000  0.2506  0.2190
Ag  0.5000  0.7114  0.4218
Au  0.0000  0.7494  0.7810
Li  0.5000  0.0514  0.8131
Au  0.0000  0.0000  0.5000

Properties
Magnetic moment: 0.00 μB per formula unit
DOS at the Fermi energy: 3.31 states/eV/f.u.
Crystal system: orthorhombic
Energy of formation from the pure elements: -210 kJ/mol of formula units

[4]
First-principles (PBE) data for Li2Ag8Au after structural relaxation, as listed in the Alexandria database.

abc: 4.1599 6.4762 7.6447
angles: 104.99 105.79 90.00
Fractional positions:
Ag  0.4043  0.5433  0.8087
Ag  0.3179  0.0901  0.6358
Au  0.5000  0.0000  0.0000
Ag  0.9542  0.2736  0.9084
Ag  0.1413  0.1925  0.2826
Ag  0.5957  0.4567  0.1913
Ag  0.8587  0.8075  0.7174
Ag  0.0458  0.7264  0.0916
Ag  0.6821  0.9099  0.3642
Li  0.7746  0.3530  0.5493
Li  0.2254  0.6470  0.4507

Properties
Magnetic moment: 0.00 μB per formula unit
DOS at the Fermi energy: 2.89 states/eV/f.u.
Crystal system: monoclinic
Energy of formation from the pure elements: -100 kJ/mol of formula units